Record 1
Nd2Co12P7 | GGA-PBE | optimized geometry

a b c (Å): 9.081 9.081 3.632
angles (deg): 90.00 90.00 120.00
Site moments in Bohr magnetons follow the coordinates.
Element x y z (fractional)
Co 0.539 0.104 0.500  0.84
Co 0.896 0.435 0.500  0.84
Co 0.786 0.182 0.000  0.32
Co 0.608 0.707 0.000  0.42
Co 0.293 0.902 0.000  0.42
Co 0.717 0.952 0.500  0.24
Co 0.048 0.765 0.500  0.24
Co 0.818 0.604 0.000  0.32
Co 0.098 0.392 0.000  0.42
Co 0.396 0.214 0.000  0.32
Co 0.565 0.461 0.500  0.84
Co 0.235 0.283 0.500  0.24
Nd 0.333 0.667 0.500  0.00
Nd 0.000 0.000 0.000  0.00
P 0.559 0.931 0.000  0.00
P 0.959 0.228 0.500  0.00
P 0.269 0.041 0.500  0.00
P 0.069 0.628 0.000  0.00
P 0.772 0.731 0.500  0.00
P 0.667 0.333 0.000  -0.02
P 0.372 0.441 0.000  0.00

Crystal system: hexagonal
Energy relative to the elements, eV/atom: -0.745
Energy, eV per atom: -7.0624
Total magnetization, μB per cell: 5.3
Space group: P-6 (174)
Calculated density, g cm⁻³: 7.762


Record 2
Nd3CoP2 | GGA-PBE | optimized geometry

a b c (Å): 4.105 11.610 11.270
angles (deg): 90.00 90.00 90.00
Element x y z (fractional)
P 0.750 0.185 0.036
P 0.750 0.315 0.536
P 0.250 0.815 0.964
P 0.250 0.489 0.801
P 0.250 0.011 0.301
P 0.250 0.685 0.464
P 0.750 0.989 0.699
P 0.750 0.511 0.199
Nd 0.250 0.806 0.705
Nd 0.250 0.694 0.205
Nd 0.750 0.939 0.114
Nd 0.250 0.376 0.063
Nd 0.750 0.194 0.295
Nd 0.250 0.439 0.386
Nd 0.750 0.306 0.795
Nd 0.750 0.561 0.614
Nd 0.750 0.876 0.437
Nd 0.250 0.124 0.563
Nd 0.250 0.061 0.886
Nd 0.750 0.624 0.937
Co 0.750 0.864 0.868
Co 0.750 0.636 0.368
Co 0.250 0.136 0.132
Co 0.250 0.364 0.632

Crystal system: orthorhombic
Energy relative to the elements, eV/atom: -1.018
Energy, eV per atom: -6.3899
Total magnetization, μB per cell: 0.0
Space group: Pnma (62)
Calculated density, g cm⁻³: 6.847


Record 3
NdCo5P2 | GGA-PBE | optimized geometry

a b c (Å): 3.617 5.793 5.793
angles (deg): 67.18 71.81 71.81
Element x y z (fractional)
Co 0.652 0.538 0.158
Co 0.348 0.842 0.462
Co 0.000 0.500 0.500
Co 0.652 0.158 0.538
Co 0.348 0.462 0.842
P 0.760 0.740 0.740
P 0.240 0.260 0.260
Nd 0.000 0.000 0.000

Crystal system: orthorhombic
Energy relative to the elements, eV/atom: -0.593
Energy, eV per atom: -6.9830
Total magnetization, μB per cell: 0.0
Space group: Immm (71)
Calculated density, g cm⁻³: 8.016


Record 4
NdCo4P12 | GGA-PBE | optimized geometry

a b c (Å): 6.771 6.771 6.771
angles (deg): 109.47 109.47 109.47
Element x y z (fractional)
Co 0.500 0.000 0.000
Co 0.500 0.500 0.500
Co 0.000 0.000 0.500
Co 0.000 0.500 0.000
P 0.501 0.148 0.353
P 0.647 0.499 0.852
P 0.647 0.795 0.148
P 0.148 0.353 0.501
P 0.852 0.353 0.205
P 0.499 0.852 0.647
P 0.795 0.148 0.647
P 0.353 0.501 0.148
P 0.353 0.205 0.852
P 0.852 0.647 0.499
P 0.205 0.852 0.353
P 0.148 0.647 0.795
Nd 0.000 0.000 0.000

Crystal system: cubic
Energy relative to the elements, eV/atom: -0.535
Energy, eV per atom: -6.3060
Total magnetization, μB per cell: 0.0
Space group: Im-3 (204)
Calculated density, g cm⁻³: 5.223


Record 5
Nd3Co2P4 | GGA-PBE | optimized geometry

a b c (Å): 3.976 6.182 8.353
angles (deg): 115.16 90.00 108.76
Element x y z (fractional)
Co 0.310 0.619 0.617
Co 0.690 0.381 0.383
Nd 0.627 0.255 0.714
Nd 0.373 0.745 0.286
Nd 0.000 0.000 0.000
P 0.107 0.214 0.402
P 0.691 0.383 0.112
P 0.309 0.617 0.888
P 0.893 0.786 0.598

Crystal system: monoclinic
Energy relative to the elements, eV/atom: -1.054
Energy, eV per atom: -6.6265
Total magnetization, μB per cell: 0.0
Space group: C2/m (12)
Calculated density, g cm⁻³: 6.448


Record 6
NdCo3P3 | GGA-PBE | optimized geometry

a b c (Å): 6.373 6.373 7.613
angles (deg): 65.26 65.26 60.00
Element x y z (fractional)
Co 0.216 0.879 0.377
Co 0.528 0.216 0.377
Co 0.879 0.528 0.377
Co 0.121 0.472 0.623
Co 0.472 0.784 0.623
Co 0.784 0.121 0.623
Nd 0.333 0.333 0.001
Nd 0.667 0.667 0.999
P 0.411 0.102 0.706
P 0.589 0.898 0.294
P 0.898 0.220 0.294
P 0.102 0.780 0.706
P 0.220 0.589 0.294
P 0.780 0.411 0.706

Crystal system: trigonal
Energy relative to the elements, eV/atom: -0.719
Energy, eV per atom: -6.7641
Total magnetization, μB per cell: 0.0
Space group: R-3 (148)
Calculated density, g cm⁻³: 5.865


Record 7
NdCo2P2 | GGA-PBE | optimized geometry

a b c (Å): 5.620 5.620 5.620
angles (deg): 139.49 139.49 58.62
Site moments in Bohr magnetons follow the coordinates.
Element x y z (fractional)
P 0.365 0.365 0.000  0.02
P 0.635 0.635 0.000  0.02
Co 0.250 0.750 0.500  0.73
Co 0.750 0.250 0.500  0.73
Nd 0.000 0.000 0.000  0.03

Crystal system: tetragonal
Energy relative to the elements, eV/atom: -0.976
Energy, eV per atom: -6.9357
Total magnetization, μB per cell: 1.5
Space group: I4/mmm (139)
Calculated density, g cm⁻³: 7.254


Record 8
Nd2Co5P4 | GGA-PBE | optimized geometry

a b c (Å): 5.256 5.466 6.929
angles (deg): 79.49 67.71 61.26
Site moments in Bohr magnetons follow the coordinates.
Element x y z (fractional)
Co 0.250 0.500 0.500  -0.11
Co 0.500 0.000 0.000  0.54
Co 0.750 0.500 0.500  -0.11
Co 0.000 0.500 0.000  0.42
Co 0.500 0.500 0.000  0.42
P 0.470 0.316 0.743  0.00
P 0.213 0.316 0.257  0.00
P 0.530 0.684 0.257  0.00
P 0.787 0.684 0.743  0.00
Nd 0.861 0.000 0.279  0.01
Nd 0.139 0.000 0.721  0.01

Crystal system: orthorhombic
Energy relative to the elements, eV/atom: -0.797
Energy, eV per atom: -6.8610
Total magnetization, μB per cell: 1.1
Space group: Fmmm (69)
Calculated density, g cm⁻³: 7.271


Record 9
NdCoP2Rh | GGA-PBE | optimized geometry

a b c (Å): 3.998 3.998 5.662
angles (deg): 110.67 110.67 90.00
Site moments in Bohr magnetons follow the coordinates.
Element x y z (fractional)
P 0.376 0.376 0.753  0.02
P 0.624 0.624 0.247  0.02
Rh 0.750 0.250 0.500  0.23
Nd 0.000 0.000 0.000  0.01
Co 0.250 0.750 0.500  0.86

Crystal system: tetragonal
Energy relative to the elements, eV/atom: -0.985
Energy, eV per atom: -6.9942
Total magnetization, μB per cell: 1.1
Space group: I-4m2 (119)
Calculated density, g cm⁻³: 7.794


Record 10
NdCoP2Ru | GGA-PBE | optimized geometry

a b c (Å): 3.855 3.855 6.150
angles (deg): 108.27 108.27 90.00
Element x y z (fractional)
Nd 0.000 0.000 0.000
Ru 0.250 0.750 0.500
P 0.362 0.362 0.723
P 0.638 0.638 0.277
Co 0.750 0.250 0.500

Crystal system: tetragonal
Energy relative to the elements, eV/atom: -0.966
Energy, eV per atom: -7.3594
Total magnetization, μB per cell: 0.0
Space group: I-4m2 (119)
Calculated density, g cm⁻³: 7.422


Record 11
NdTiCoP2 | GGA-PBE | optimized geometry

a b c (Å): 3.848 3.848 6.383
angles (deg): 107.54 107.54 90.00
Element x y z (fractional)
Ti 0.750 0.250 0.500
Co 0.250 0.750 0.500
Nd 0.000 0.000 0.000
P 0.630 0.630 0.259
P 0.370 0.370 0.741

Crystal system: tetragonal
Energy relative to the elements, eV/atom: -1.012
Energy, eV per atom: -7.1298
Total magnetization, μB per cell: 0.0
Space group: I-4m2 (119)
Calculated density, g cm⁻³: 6.079


Record 12
NdVCoP2 | GGA-PBE | optimized geometry

a b c (Å): 3.903 3.903 6.025
angles (deg): 108.90 108.90 90.00
Site moments in Bohr magnetons follow the coordinates.
Element x y z (fractional)
Nd 0.000 0.000 0.000  0.06
V 0.750 0.250 0.500  0.99
Co 0.250 0.750 0.500  0.14
P 0.636 0.636 0.273  -0.04
P 0.364 0.364 0.727  -0.04

Crystal system: tetragonal
Energy relative to the elements, eV/atom: -0.922
Energy, eV per atom: -7.2848
Total magnetization, μB per cell: 1.3
Space group: I-4m2 (119)
Calculated density, g cm⁻³: 6.434


Record 13
Nd2PaCo | GGA-PBE | optimized geometry

a b c (Å): 3.402 3.402 10.675
angles (deg): 80.83 80.83 60.00
Element x y z (fractional)
Nd 0.106 0.106 0.681
Nd 0.894 0.894 0.319
Pa 0.000 0.000 0.000
Co 0.500 0.500 0.500

Crystal system: trigonal
Energy relative to the elements, eV/atom: 0.448
Energy, eV per atom: -6.0860
Total magnetization, μB per cell: 0.0
Space group: R-3m (166)
Calculated density, g cm⁻³: 9.136


Record 14
Nd3Pa2Co4 | GGA-PBE | optimized geometry

a b c (Å): 3.723 6.089 9.207
angles (deg): 101.63 90.00 107.80
Element x y z (fractional)
Co 0.707 0.415 0.072
Co 0.079 0.157 0.623
Co 0.293 0.585 0.928
Co 0.921 0.843 0.377
Pa 0.320 0.640 0.220
Pa 0.680 0.360 0.780
Nd 0.375 0.750 0.616
Nd 0.625 0.250 0.384
Nd 0.000 0.000 0.000

Crystal system: monoclinic
Energy relative to the elements, eV/atom: -0.247
Energy, eV per atom: -7.1042
Total magnetization, μB per cell: 0.0
Space group: C2/m (12)
Calculated density, g cm⁻³: 9.667


Record 15
Nd5PaCo4 | GGA-PBE | optimized geometry

a b c (Å): 4.180 7.240 9.115
angles (deg): 112.39 103.25 90.00
Element x y z (fractional)
Nd 0.177 0.558 0.355
Nd 0.159 0.043 0.319
Nd 0.841 0.957 0.681
Nd 0.823 0.442 0.645
Nd 0.500 0.500 0.000
Pa 0.500 0.000 0.000
Co 0.982 0.790 0.964
Co 0.018 0.210 0.036
Co 0.635 0.282 0.270
Co 0.365 0.718 0.730

Crystal system: monoclinic
Energy relative to the elements, eV/atom: -0.158
Energy, eV per atom: -6.3339
Total magnetization, μB per cell: 0.0
Space group: C2/m (12)
Calculated density, g cm⁻³: 7.984


Record 16
NdPaCo | GGA-PBE | optimized geometry

a b c (Å): 3.457 3.457 6.226
angles (deg): 106.12 106.12 90.00
Element x y z (fractional)
Nd 0.000 0.000 0.000
Co 0.291 0.291 0.582
Pa 0.709 0.709 0.418

Crystal system: tetragonal
Energy relative to the elements, eV/atom: -0.121
Energy, eV per atom: -7.2439
Total magnetization, μB per cell: 0.0
Space group: I4mm (107)
Distance to the lowest polymorph of the same formula, eV/atom: 0.0586
Calculated density, g cm⁻³: 10.539


Record 17
NdPa2Co | GGA-PBE | optimized geometry

a b c (Å): 3.551 3.551 9.327
angles (deg): 79.03 79.03 60.00
Element x y z (fractional)
Co 0.000 0.000 0.000
Pa 0.728 0.728 0.817
Pa 0.272 0.272 0.183
Nd 0.500 0.500 0.500

Crystal system: trigonal
Energy relative to the elements, eV/atom: 0.019
Energy, eV per atom: -7.6978
Total magnetization, μB per cell: 0.0
Space group: R-3m (166)
Calculated density, g cm⁻³: 11.119


Record 18
NdPaCo10 | GGA-PBE | optimized geometry

a b c (Å): 4.012 4.883 8.526
angles (deg): 90.00 90.00 90.00
Site moments in Bohr magnetons follow the coordinates.
Element x y z (fractional)
Co 0.000 0.500 0.195  1.25
Co 0.000 0.500 0.805  1.25
Co 0.500 0.248 0.251  1.46
Co 0.000 0.000 0.656  1.22
Co 0.500 0.248 0.749  1.46
Co 0.000 0.000 0.344  1.22
Co 0.500 0.500 0.000  1.50
Co 0.500 0.752 0.749  1.46
Co 0.500 0.752 0.251  1.46
Co 0.500 0.000 0.500  1.40
Nd 0.000 0.000 0.000  -0.22
Pa 0.000 0.500 0.500  -0.84

Crystal system: orthorhombic
Energy relative to the elements, eV/atom: -0.116
Energy, eV per atom: -7.2264
Total magnetization, μB per cell: 12.0
Space group: Pmmm (47)
Calculated density, g cm⁻³: 9.588


Record 19
NdPaCo | GGA-PBE | optimized geometry

a b c (Å): 4.868 4.868 6.253
angles (deg): 90.00 90.00 89.95
Element x y z (fractional)
Nd 0.250 0.250 0.106
Nd 0.750 0.750 0.894
Pa 0.750 0.250 0.500
Pa 0.250 0.750 0.500
Co 0.750 0.750 0.361
Co 0.250 0.250 0.639

Crystal system: tetragonal
Energy relative to the elements, eV/atom: -0.179
Energy, eV per atom: -7.3025
Total magnetization, μB per cell: 0.0
Space group: P4/nmm (129)
Distance to the lowest polymorph of the same formula, eV/atom: 0.0000
Calculated density, g cm⁻³: 9.731


Record 20
Nd3PaCo3 | GGA-PBE | optimized geometry

a b c (Å): 3.791 6.645 13.478
angles (deg): 87.43 81.91 73.43
Element x y z (fractional)
Nd 0.411 0.258 0.919
Nd 0.589 0.742 0.081
Nd 0.487 0.396 0.631
Nd 0.513 0.604 0.369
Nd 0.269 0.266 0.196
Nd 0.731 0.734 0.804
Co 0.929 0.898 0.244
Co 0.868 0.727 0.538
Co 0.071 0.102 0.756
Co 0.084 0.905 0.928
Co 0.132 0.273 0.462
Co 0.916 0.095 0.072
Pa 0.222 0.949 0.607
Pa 0.778 0.051 0.393

Crystal system: monoclinic
Energy relative to the elements, eV/atom: -0.162
Energy, eV per atom: -6.6068
Total magnetization, μB per cell: 0.0
Space group: C2/m (12)
Calculated density, g cm⁻³: 8.665